DFT (PBE) results for ZrAlV after structural relaxation.

Values from the calculation:
SG = Pm (6)
ΔE_f = -0.1632 eV per atom
E above lowest polymorph = 0.126 eV per atom

abc: 2.8866 4.1211 8.8890
angles: 90.00 97.94 90.00
Sites, in units of the cell vectors:
Zr  0.0000  0.0000  0.0000
Zr  0.1443  0.0000  0.3620
Al  0.4397  0.5000  0.8046
Al  0.5733  0.5000  0.1856
V  0.6883  0.5000  0.5287
V  0.9654  0.0000  0.6704